No. 1
This record from Alexandria via LeMat-Bulk describes a geometry-optimized Pr5Mg2Cd structure. The functional is PBE-GGA.

## Properties
E_form   -84 meV/atom
Energy   -3.58 eV per atom

a = 7.851 Å, b = 7.851 Å, c = 8.092 Å
α = 90.00°, β = 90.00°, γ = 90.00°
Atoms (fractional coordinates):
Pr (0.000, 0.000, 0.000)
Pr (0.250, 0.250, 0.251)
Pr (0.250, 0.250, 0.751)
Pr (0.250, 0.750, 0.251)
Pr (0.250, 0.750, 0.751)
Pr (0.500, 0.500, 0.500)
Pr (0.750, 0.250, 0.251)
Pr (0.750, 0.250, 0.751)
Pr (0.750, 0.750, 0.251)
Pr (0.750, 0.750, 0.751)
Mg (0.000, 0.500, 0.001)
Mg (0.000, 0.500, 0.501)
Mg (0.500, 0.000, 0.001)
Mg (0.500, 0.000, 0.501)
Cd (0.000, 0.000, 0.501)
Cd (0.500, 0.500, 0.001)

No. 2
This record from Alexandria via LeMat-Bulk describes a geometry-optimized Pr2Mg5Cd5 structure. The functional is PBE-GGA.

## Properties
E_form   -190 meV/atom
Energy   -2.03 eV per atom

a = 4.815 Å, b = 5.981 Å, c = 10.266 Å
α = 90.00°, β = 90.00°, γ = 90.00°
Atoms (fractional coordinates):
Pr (0.000, 0.000, 0.000)
Pr (0.000, 0.500, 0.500)
Mg (0.500, 0.000, 0.500)
Mg (0.500, 0.250, 0.246)
Mg (0.500, 0.250, 0.754)
Mg (0.500, 0.750, 0.246)
Mg (0.500, 0.750, 0.754)
Cd (0.000, 0.000, 0.332)
Cd (0.000, 0.000, 0.668)
Cd (0.000, 0.500, 0.171)
Cd (0.000, 0.500, 0.829)
Cd (0.500, 0.500, 0.000)

No. 3
This record from Alexandria via LeMat-Bulk describes a geometry-optimized Pr3Mg2Cd structure. The functional is PBE-GGA.

## Properties
E_form   -181 meV/atom
E above lowest polymorph   4.6 meV/atom
Energy   -3.26 eV per atom

a = 3.906 Å, b = 3.906 Å, c = 11.689 Å
α = 90.00°, β = 90.00°, γ = 90.00°
Atoms (fractional coordinates):
Pr (0.000, 0.000, 0.000)
Pr (0.000, 0.000, 0.334)
Pr (0.000, 0.000, 0.666)
Mg (0.500, 0.500, 0.165)
Mg (0.500, 0.500, 0.835)
Cd (0.500, 0.500, 0.500)

No. 4
This record from Alexandria via LeMat-Bulk describes a geometry-optimized Pr3Mg9Cd2 structure. The functional is PBE-GGA.

## Properties
E_form   -100 meV/atom
Energy   -2.28 eV per atom

a = 8.956 Å, b = 8.956 Å, c = 8.956 Å
α = 147.71°, β = 99.26°, γ = 89.64°
Atoms (fractional coordinates):
Pr (0.000, 0.000, 0.000)
Pr (0.289, 0.289, 0.000)
Pr (0.711, 0.711, 0.000)
Mg (0.006, 0.635, 0.371)
Mg (0.133, 0.858, 0.275)
Mg (0.264, 0.635, 0.629)
Mg (0.417, 0.142, 0.275)
Mg (0.500, 0.000, 0.500)
Mg (0.583, 0.858, 0.725)
Mg (0.736, 0.365, 0.371)
Mg (0.867, 0.142, 0.725)
Mg (0.994, 0.365, 0.629)
Cd (0.335, 0.500, 0.835)
Cd (0.665, 0.500, 0.165)

No. 5
This record from Alexandria via LeMat-Bulk describes a geometry-optimized PrMg8Cd4 structure. The functional is PBE-GGA.

## Properties
E_form   -155 meV/atom
Energy   -1.79 eV per atom

a = 7.699 Å, b = 7.699 Å, c = 7.699 Å
α = 98.58°, β = 98.58°, γ = 134.55°
Atoms (fractional coordinates):
Pr (0.000, 0.000, 0.000)
Mg (0.000, 0.350, 0.350)
Mg (0.000, 0.650, 0.650)
Mg (0.286, 0.500, 0.786)
Mg (0.350, 0.000, 0.350)
Mg (0.500, 0.286, 0.786)
Mg (0.500, 0.714, 0.214)
Mg (0.650, 0.000, 0.650)
Mg (0.714, 0.500, 0.214)
Cd (0.000, 0.000, 0.500)
Cd (0.000, 0.500, 0.000)
Cd (0.500, 0.000, 0.000)
Cd (0.500, 0.500, 0.500)

No. 6
This record from Alexandria via LeMat-Bulk describes a geometry-optimized PrMg2Cd3 structure. The functional is PBE-GGA.

## Properties
E_form   -228 meV/atom
E above lowest polymorph   0.0 meV/atom
Energy   -2.01 eV per atom

a = 4.960 Å, b = 4.960 Å, c = 13.718 Å
α = 90.00°, β = 90.00°, γ = 120.00°
Atoms (fractional coordinates):
Pr (0.000, 0.000, 0.250)
Pr (0.000, 0.000, 0.750)
Mg (0.333, 0.667, 0.095)
Mg (0.333, 0.667, 0.405)
Mg (0.667, 0.333, 0.595)
Mg (0.667, 0.333, 0.905)
Cd (0.000, 0.000, 0.000)
Cd (0.000, 0.000, 0.500)
Cd (0.333, 0.667, 0.633)
Cd (0.333, 0.667, 0.867)
Cd (0.667, 0.333, 0.133)
Cd (0.667, 0.333, 0.367)

No. 7
This record from Alexandria via LeMat-Bulk describes a geometry-optimized PrMg6Cd6 structure. The functional is PBE-GGA.

## Properties
E_form   -166 meV/atom
Energy   -1.69 eV per atom

a = 7.684 Å, b = 7.684 Å, c = 7.684 Å
α = 134.61°, β = 98.86°, γ = 98.26°
Atoms (fractional coordinates):
Pr (0.000, 0.000, 0.000)
Mg (0.210, 0.710, 0.500)
Mg (0.350, 0.350, 0.000)
Mg (0.351, 0.000, 0.351)
Mg (0.649, 0.000, 0.649)
Mg (0.650, 0.650, 0.000)
Mg (0.790, 0.290, 0.500)
Cd (0.000, 0.000, 0.500)
Cd (0.000, 0.500, 0.000)
Cd (0.214, 0.500, 0.714)
Cd (0.500, 0.000, 0.000)
Cd (0.500, 0.500, 0.500)
Cd (0.786, 0.500, 0.286)

No. 8
This record from Alexandria via LeMat-Bulk describes a geometry-optimized Pr12Mg6Cd structure. The functional is PBE-GGA.

## Properties
E_form   -4 meV/atom
Energy   -3.57 eV per atom

a = 8.428 Å, b = 8.428 Å, c = 8.428 Å
α = 87.94°, β = 87.94°, γ = 87.94°
Atoms (fractional coordinates):
Pr (0.022, 0.306, 0.946)
Pr (0.054, 0.978, 0.694)
Pr (0.120, 0.344, 0.465)
Pr (0.306, 0.946, 0.022)
Pr (0.344, 0.465, 0.120)
Pr (0.465, 0.120, 0.344)
Pr (0.535, 0.880, 0.656)
Pr (0.656, 0.535, 0.880)
Pr (0.694, 0.054, 0.978)
Pr (0.880, 0.656, 0.535)
Pr (0.946, 0.022, 0.306)
Pr (0.978, 0.694, 0.054)
Mg (0.245, 0.606, 0.752)
Mg (0.248, 0.755, 0.394)
Mg (0.394, 0.248, 0.755)
Mg (0.606, 0.752, 0.245)
Mg (0.752, 0.245, 0.606)
Mg (0.755, 0.394, 0.248)
Cd (0.500, 0.500, 0.500)

No. 9
This record from Alexandria via LeMat-Bulk describes a geometry-optimized PrMg2Cd4 structure. The functional is PBE-GGA.

## Properties
E_form   -230 meV/atom
Energy   -1.89 eV per atom

a = 7.521 Å, b = 7.521 Å, c = 5.812 Å
α = 90.00°, β = 90.00°, γ = 90.00°
Atoms (fractional coordinates):
Pr (0.000, 0.000, 0.000)
Pr (0.500, 0.500, 0.500)
Mg (0.000, 0.500, 0.250)
Mg (0.000, 0.500, 0.750)
Mg (0.500, 0.000, 0.250)
Mg (0.500, 0.000, 0.750)
Cd (0.195, 0.195, 0.500)
Cd (0.195, 0.805, 0.500)
Cd (0.305, 0.305, 0.000)
Cd (0.305, 0.695, 0.000)
Cd (0.695, 0.305, 0.000)
Cd (0.695, 0.695, 0.000)
Cd (0.805, 0.195, 0.500)
Cd (0.805, 0.805, 0.500)

No. 10
This record from Alexandria via LeMat-Bulk describes a geometry-optimized Pr2Mg12Cd7 structure. The functional is PBE-GGA.

## Properties
E_form   -129 meV/atom
Energy   -1.80 eV per atom

a = 11.652 Å, b = 11.652 Å, c = 4.365 Å
α = 90.00°, β = 90.00°, γ = 120.00°
Atoms (fractional coordinates):
Pr (0.333, 0.667, 0.251)
Pr (0.667, 0.333, 0.749)
Mg (0.044, 0.431, 0.750)
Mg (0.109, 0.266, 0.243)
Mg (0.156, 0.891, 0.243)
Mg (0.266, 0.156, 0.757)
Mg (0.387, 0.956, 0.750)
Mg (0.431, 0.387, 0.250)
Mg (0.569, 0.613, 0.750)
Mg (0.613, 0.044, 0.250)
Mg (0.734, 0.844, 0.243)
Mg (0.844, 0.109, 0.757)
Mg (0.891, 0.734, 0.757)
Mg (0.956, 0.569, 0.250)
Cd (0.000, 0.000, 0.500)
Cd (0.138, 0.712, 0.749)
Cd (0.288, 0.426, 0.749)
Cd (0.426, 0.138, 0.251)
Cd (0.574, 0.862, 0.749)
Cd (0.712, 0.574, 0.251)
Cd (0.862, 0.288, 0.251)

No. 11
This record from Alexandria via LeMat-Bulk describes a geometry-optimized PrMg2Cd2 structure. The functional is PBE-GGA.

## Properties
E_form   -188 meV/atom
Energy   -2.15 eV per atom

a = 5.087 Å, b = 6.920 Å, c = 7.070 Å
α = 90.00°, β = 90.00°, γ = 90.00°
Atoms (fractional coordinates):
Pr (0.000, 0.000, 0.000)
Pr (0.500, 0.500, 0.500)
Mg (0.000, 0.500, 0.199)
Mg (0.000, 0.500, 0.801)
Mg (0.500, 0.000, 0.301)
Mg (0.500, 0.000, 0.699)
Cd (0.000, 0.201, 0.500)
Cd (0.000, 0.799, 0.500)
Cd (0.500, 0.299, 0.000)
Cd (0.500, 0.701, 0.000)

No. 12
This record from Alexandria via LeMat-Bulk describes a geometry-optimized PrMgCd4 structure. The functional is PBE-GGA.

## Properties
E_form   -150 meV/atom
E above lowest polymorph   107.0 meV/atom
Energy   -1.82 eV per atom

a = 5.924 Å, b = 5.924 Å, c = 5.924 Å
α = 60.00°, β = 60.00°, γ = 60.00°
Atoms (fractional coordinates):
Pr (0.000, 0.000, 0.000)
Mg (0.750, 0.750, 0.750)
Cd (0.375, 0.375, 0.375)
Cd (0.375, 0.375, 0.876)
Cd (0.375, 0.876, 0.375)
Cd (0.876, 0.375, 0.375)

No. 13
This record from Alexandria via LeMat-Bulk describes a geometry-optimized Pr3Mg7Cd2 structure. The functional is PBE-GGA.

## Properties
E_form   -143 meV/atom
Energy   -2.42 eV per atom

a = 10.445 Å, b = 10.445 Å, c = 10.445 Å
α = 33.86°, β = 33.86°, γ = 33.86°
Atoms (fractional coordinates):
Pr (0.000, 0.000, 0.000)
Pr (0.144, 0.144, 0.144)
Pr (0.856, 0.856, 0.856)
Mg (0.079, 0.583, 0.583)
Mg (0.417, 0.417, 0.921)
Mg (0.417, 0.921, 0.417)
Mg (0.500, 0.500, 0.500)
Mg (0.583, 0.079, 0.583)
Mg (0.583, 0.583, 0.079)
Mg (0.921, 0.417, 0.417)
Cd (0.334, 0.334, 0.334)
Cd (0.666, 0.666, 0.666)

No. 14
This record from Alexandria via LeMat-Bulk describes a geometry-optimized PrMgCd4 structure. The functional is PBE-GGA.

## Properties
E_form   -257 meV/atom
E above lowest polymorph   0.0 meV/atom
Energy   -1.93 eV per atom

a = 4.959 Å, b = 4.959 Å, c = 6.905 Å
α = 90.00°, β = 90.00°, γ = 120.00°
Atoms (fractional coordinates):
Pr (0.000, 0.000, 0.000)
Mg (0.000, 0.000, 0.500)
Cd (0.333, 0.667, 0.261)
Cd (0.333, 0.667, 0.739)
Cd (0.667, 0.333, 0.261)
Cd (0.667, 0.333, 0.739)

No. 15
This record from Alexandria via LeMat-Bulk describes a geometry-optimized Pr12Mg3Cd structure. The functional is PBE-GGA.

## Properties
E_form   -38 meV/atom
Energy   -3.98 eV per atom

a = 5.063 Å, b = 5.063 Å, c = 20.275 Å
α = 90.00°, β = 90.00°, γ = 90.00°
Atoms (fractional coordinates):
Pr (0.000, 0.000, 0.000)
Pr (0.000, 0.000, 0.249)
Pr (0.000, 0.000, 0.500)
Pr (0.000, 0.000, 0.751)
Pr (0.000, 0.500, 0.123)
Pr (0.000, 0.500, 0.374)
Pr (0.000, 0.500, 0.626)
Pr (0.000, 0.500, 0.877)
Pr (0.500, 0.000, 0.123)
Pr (0.500, 0.000, 0.374)
Pr (0.500, 0.000, 0.626)
Pr (0.500, 0.000, 0.877)
Mg (0.500, 0.500, 0.249)
Mg (0.500, 0.500, 0.500)
Mg (0.500, 0.500, 0.751)
Cd (0.500, 0.500, 0.000)

No. 16
This record from Alexandria via LeMat-Bulk describes a geometry-optimized Pr2MgCd5 structure. The functional is PBE-GGA.

## Properties
E_form   -220 meV/atom
E above lowest polymorph   13.0 meV/atom
Energy   -2.19 eV per atom

a = 9.200 Å, b = 9.200 Å, c = 10.099 Å
α = 90.00°, β = 90.00°, γ = 150.34°
Atoms (fractional coordinates):
Pr (0.000, 0.000, 0.000)
Pr (0.000, 0.000, 0.500)
Pr (0.194, 0.806, 0.750)
Pr (0.806, 0.194, 0.250)
Mg (0.454, 0.546, 0.250)
Mg (0.546, 0.454, 0.750)
Cd (0.194, 0.806, 0.103)
Cd (0.194, 0.806, 0.397)
Cd (0.360, 0.640, 0.030)
Cd (0.360, 0.640, 0.470)
Cd (0.391, 0.609, 0.750)
Cd (0.609, 0.391, 0.250)
Cd (0.640, 0.360, 0.530)
Cd (0.640, 0.360, 0.970)
Cd (0.806, 0.194, 0.603)
Cd (0.806, 0.194, 0.897)

No. 17
This record from Alexandria via LeMat-Bulk describes a geometry-optimized Pr2MgCd2 structure. The functional is PBE-GGA.

## Properties
E_form   -207 meV/atom
E above lowest polymorph   0.0 meV/atom
Energy   -2.80 eV per atom

a = 6.335 Å, b = 6.335 Å, c = 8.643 Å
α = 102.40°, β = 102.40°, γ = 58.69°
Atoms (fractional coordinates):
Pr (0.015, 0.288, 0.146)
Pr (0.288, 0.015, 0.646)
Pr (0.712, 0.985, 0.354)
Pr (0.985, 0.712, 0.854)
Mg (0.328, 0.672, 0.250)
Mg (0.672, 0.328, 0.750)
Cd (0.233, 0.507, 0.506)
Cd (0.493, 0.767, 0.994)
Cd (0.507, 0.233, 0.006)
Cd (0.767, 0.493, 0.494)

No. 18
This record from Alexandria via LeMat-Bulk describes a geometry-optimized Pr4MgCd3 structure. The functional is PBE-GGA.

## Properties
E_form   -270 meV/atom
E above lowest polymorph   0.0 meV/atom
Energy   -3.20 eV per atom

a = 3.910 Å, b = 5.479 Å, c = 10.975 Å
α = 90.00°, β = 90.00°, γ = 90.00°
Atoms (fractional coordinates):
Pr (0.000, 0.000, 0.000)
Pr (0.000, 0.000, 0.500)
Pr (0.000, 0.500, 0.248)
Pr (0.000, 0.500, 0.752)
Mg (0.500, 0.500, 0.500)
Cd (0.500, 0.000, 0.255)
Cd (0.500, 0.000, 0.745)
Cd (0.500, 0.500, 0.000)

No. 19
This record from Alexandria via LeMat-Bulk describes a geometry-optimized PrMg2Cd3 structure. The functional is PBE-GGA.

## Properties
E_form   -160 meV/atom
E above lowest polymorph   67.8 meV/atom
Energy   -1.95 eV per atom

a = 7.019 Å, b = 7.019 Å, c = 6.242 Å
α = 90.00°, β = 90.00°, γ = 78.91°
Atoms (fractional coordinates):
Pr (0.149, 0.851, 0.750)
Pr (0.851, 0.149, 0.250)
Mg (0.276, 0.276, 0.000)
Mg (0.276, 0.276, 0.500)
Mg (0.724, 0.724, 0.000)
Mg (0.724, 0.724, 0.500)
Cd (0.069, 0.646, 0.250)
Cd (0.354, 0.931, 0.250)
Cd (0.485, 0.515, 0.250)
Cd (0.515, 0.485, 0.750)
Cd (0.646, 0.069, 0.750)
Cd (0.931, 0.354, 0.750)

No. 20
This record from Alexandria via LeMat-Bulk describes a geometry-optimized Pr9Mg2Cd structure. The functional is PBE-GGA.

## Properties
E_form   -42 meV/atom
Energy   -3.97 eV per atom

a = 5.059 Å, b = 5.059 Å, c = 15.201 Å
α = 90.00°, β = 90.00°, γ = 90.00°
Atoms (fractional coordinates):
Pr (0.000, 0.000, 0.000)
Pr (0.000, 0.000, 0.333)
Pr (0.000, 0.000, 0.667)
Pr (0.000, 0.500, 0.165)
Pr (0.000, 0.500, 0.500)
Pr (0.000, 0.500, 0.835)
Pr (0.500, 0.000, 0.165)
Pr (0.500, 0.000, 0.500)
Pr (0.500, 0.000, 0.835)
Mg (0.500, 0.500, 0.332)
Mg (0.500, 0.500, 0.668)
Cd (0.500, 0.500, 0.000)